Entry 1:
! PBE SbTe2Os, optimized geometry; values from VASP
! N(E_F) = 2.825 states/eV per cell
! Crystal system = tetragonal
! Space-group type = No. 99
! Formation energy without anion corrections = 1.2 eV per formula unit
&SYSTEM
  ibrav = 0, nat = 4, ntyp = 3
/
ATOMIC_SPECIES
Os 190.23 Os.upf
Te 127.60 Te.upf
Sb 121.76 Sb.upf
ATOMIC_POSITIONS angstrom
Os 3.312 3.101 2.313
Te 0.021 0.019 0.015
Sb 3.312 4.098 5.025
Te 1.018 1.950 3.423
CELL_PARAMETERS angstrom
-2.395 1.641 1.229
0.003 -1.887 2.525
6.703 6.276 4.681

Entry 2:
! PBE Ca4ThPa3As8, optimized geometry; values from VASP
! Total energy = -100.236 eV for the cell shown
! N(E_F) = 14.352 states/eV per cell
! Crystal system = trigonal
! Space-group type = No. 166
&SYSTEM
  ibrav = 0, nat = 16, ntyp = 4
/
ATOMIC_SPECIES
As 74.92 As.upf
Ca 40.08 Ca.upf
Pa 231.04 Pa.upf
Th 232.04 Th.upf
ATOMIC_POSITIONS angstrom
As -2.051 2.032 5.855
As 4.205 0.107 2.973
Ca 0.000 0.000 0.000
As 6.256 2.154 0.071
Pa -2.103 2.093 2.963
Ca 2.103 -2.100 2.975
As 4.205 4.096 2.891
As 2.051 2.032 5.855
Th 0.000 4.193 -0.012
Pa 2.103 2.093 2.963
Ca -2.103 -2.100 2.975
Ca 4.205 0.000 0.000
Pa 4.205 4.193 -0.012
As 0.000 0.090 3.035
As 0.000 4.079 2.953
As 2.154 2.154 0.071
CELL_PARAMETERS angstrom
8.411 0.000 0.000
0.000 8.387 -0.023
-4.205 -4.201 5.949

Entry 3:
! PBE TbGa12Pd4, optimized geometry; values from VASP
! Total energy = -65.969 eV for the cell shown
! N(E_F) = 12.095 states/eV per cell
! Crystal system = cubic
! Space-group type = No. 204
&SYSTEM
  ibrav = 0, nat = 17, ntyp = 3
/
ATOMIC_SPECIES
Pd 106.42 Pd.upf
Ga 69.72 Ga.upf
Tb 158.93 Tb.upf
ATOMIC_POSITIONS angstrom
Pd -2.744 -0.045 2.644
Ga 1.640 1.690 5.411
Ga -1.716 4.975 -1.715
Ga 1.253 1.375 2.757
Tb 0.000 0.000 0.000
Pd -0.038 3.332 1.848
Ga -1.329 5.290 0.939
Pd 3.374 0.559 1.680
Ga -2.175 2.077 1.420
Ga -0.922 3.487 4.197
Ga -4.269 3.779 1.523
Ga 0.847 3.177 -0.501
Ga 4.193 2.885 2.173
Pd -0.668 2.818 -2.476
Ga 2.507 5.250 -0.990
Ga 2.099 4.587 2.276
Ga -2.583 1.415 4.686
CELL_PARAMETERS angstrom
-1.337 5.637 -4.952
-5.487 -0.090 5.288
6.748 1.118 3.360

Entry 4:
! PBE KMgBr3, optimized geometry; values from VASP
! N(E_F) = 0.000 states/eV per cell
! Crystal system = cubic
! Space-group type = No. 221
! Formation energy without anion corrections = -7.7 eV per formula unit
&SYSTEM
  ibrav = 0, nat = 5, ntyp = 3
/
ATOMIC_SPECIES
Mg 24.30 Mg.upf
Br 79.90 Br.upf
K 39.10 K.upf
ATOMIC_POSITIONS angstrom
Mg 0.000 0.000 0.000
Br -2.203 -1.225 -0.908
K -3.880 2.140 -1.379
Br -1.517 1.591 1.532
Br -0.161 1.773 -2.002
CELL_PARAMETERS angstrom
-0.322 3.547 -4.004
-4.406 -2.450 -1.817
-3.033 3.183 3.063

Entry 5:
! PBE DyHoTh2Bi4, optimized geometry; values from VASP
! Total energy = -45.171 eV for the cell shown
! N(E_F) = 4.607 states/eV per cell
! Crystal system = monoclinic
! Space-group type = No. 10
&SYSTEM
  ibrav = 0, nat = 8, ntyp = 4
/
ATOMIC_SPECIES
Bi 208.98 Bi.upf
Th 232.04 Th.upf
Dy 162.50 Dy.upf
Ho 164.93 Ho.upf
ATOMIC_POSITIONS angstrom
Bi -0.698 -3.080 0.182
Th 1.893 -3.752 -1.655
Dy 0.000 0.000 0.000
Bi 1.299 -6.936 -1.441
Bi 3.787 -4.008 0.971
Bi 0.000 -3.496 -4.282
Th 1.196 -3.332 2.815
Ho -2.489 -2.933 -2.419
CELL_PARAMETERS angstrom
-3.186 -2.513 2.052
-1.791 -3.353 -6.889
5.578 -4.150 3.578

Entry 6:
! PBE Cs2I6NCl, optimized geometry; values from VASP
! N(E_F) = 11.766 states/eV per cell
! Crystal system = tetragonal
! Space-group type = No. 139
! Formation energy without anion corrections = -1.7 eV per formula unit
&SYSTEM
  ibrav = 0, nat = 10, ntyp = 4
/
ATOMIC_SPECIES
Cl 35.45 Cl.upf
I 126.90 I.upf
Cs 132.91 Cs.upf
N 14.01 N.upf
ATOMIC_POSITIONS angstrom
Cl 0.000 0.000 0.000
I 2.511 6.211 0.000
I 2.511 2.511 0.000
I 4.361 4.361 2.506
I 6.211 2.511 0.000
I 6.211 6.211 0.000
Cs 4.361 8.722 2.621
Cs 8.722 4.361 2.621
N 4.361 4.361 0.000
I 8.722 8.722 2.736
CELL_PARAMETERS angstrom
8.722 0.000 0.000
0.000 8.722 0.000
4.361 4.361 5.242

Entry 7:
! PBE Ac3Co3Br, optimized geometry; values from VASP
! N(E_F) = 19.811 states/eV per cell
! Crystal system = hexagonal
! Space-group type = No. 176
! Formation energy without anion corrections = -2.4 eV per formula unit
&SYSTEM
  ibrav = 0, nat = 14, ntyp = 3
/
ATOMIC_SPECIES
Br 79.90 Br.upf
Co 58.93 Co.upf
Ac 227.00 Ac.upf
ATOMIC_POSITIONS angstrom
Br -5.204 -2.505 -1.990
Co -1.754 -0.005 0.031
Co -8.959 -2.626 1.875
Ac -2.108 -0.206 2.986
Co -5.239 0.149 8.596
Ac -8.605 -2.425 -1.079
Br -5.509 -0.126 3.896
Ac -4.799 -2.062 6.752
Ac -5.915 -0.569 -4.846
Co -2.329 2.098 1.218
Ac -6.084 -3.063 2.039
Ac -4.629 0.432 -0.133
Co -5.474 -2.780 -6.690
Co -8.384 -4.729 0.688
CELL_PARAMETERS angstrom
-2.358 3.302 -0.058
-5.488 -4.058 -7.891
-2.867 -1.874 9.856

Entry 8:
! PBE Ba2MgGaH6, optimized geometry; values from VASP
! Total energy = -30.230 eV for the cell shown
! N(E_F) = 3.247 states/eV per cell
! Crystal system = tetragonal
! Space-group type = No. 139
&SYSTEM
  ibrav = 0, nat = 10, ntyp = 4
/
ATOMIC_SPECIES
H 1.01 H.upf
Ba 137.33 Ba.upf
Ga 69.72 Ga.upf
Mg 24.30 Mg.upf
ATOMIC_POSITIONS angstrom
H 5.642 5.642 1.938
Ba 5.641 2.821 2.359
Ga 2.821 2.821 -0.002
Mg 0.000 0.000 0.000
H 7.071 7.069 4.719
Ba 2.821 5.641 2.360
H 7.069 4.211 4.721
H 1.392 4.251 -0.002
H 1.391 1.393 0.000
H 2.820 2.820 2.781
CELL_PARAMETERS angstrom
5.642 0.000 -0.002
0.000 5.642 -0.002
2.819 2.820 4.723

Entry 9:
! PBE TbBiPb, optimized geometry; values from VASP
! N(E_F) = 7.787 states/eV per cell
! Crystal system = orthorhombic
! Space-group type = No. 62
! Energy above the lowest structure with this stoichiometry = 0.013 eV/atom
&SYSTEM
  ibrav = 0, nat = 12, ntyp = 3
/
ATOMIC_SPECIES
Tb 158.93 Tb.upf
Bi 208.98 Bi.upf
Pb 207.20 Pb.upf
ATOMIC_POSITIONS angstrom
Tb 2.786 0.230 11.573
Bi 3.389 0.797 8.180
Pb 0.525 -1.239 6.737
Tb -0.764 -2.076 3.976
Bi 3.005 -2.263 9.187
Pb 2.321 -2.533 3.032
Tb 7.159 0.610 13.391
Pb 5.870 -0.227 10.630
Tb 3.609 -1.696 5.793
Pb 4.074 1.067 14.335
Bi 6.552 0.041 16.788
Bi -0.157 -1.507 0.579
CELL_PARAMETERS angstrom
-3.306 -2.497 2.299
2.608 -3.576 -0.133
7.092 4.607 15.201

Entry 10:
! PBE MnFe2Rh, optimized geometry; values from VASP
! Total energy = -33.289 eV for the cell shown
! N(E_F) = 4.957 states/eV per cell
! Crystal system = monoclinic
! Space-group type = No. 8
&SYSTEM
  ibrav = 0, nat = 4, ntyp = 3
/
ATOMIC_SPECIES
Mn 54.94 Mn.upf
Rh 102.91 Rh.upf
Fe 55.84 Fe.upf
ATOMIC_POSITIONS angstrom
Mn 4.465 1.376 2.291
Rh 2.251 0.694 1.099
Fe 6.706 2.066 3.341
Fe 0.864 0.266 4.402
CELL_PARAMETERS angstrom
4.460 -0.014 0.026
3.679 2.522 0.026
0.831 0.256 4.422

Entry 11:
! PBE TbNpPt4, optimized geometry; values from VASP
! Total energy = -46.772 eV for the cell shown
! N(E_F) = 12.650 states/eV per cell
! Crystal system = cubic
! Space-group type = No. 216
&SYSTEM
  ibrav = 0, nat = 6, ntyp = 3
/
ATOMIC_SPECIES
Pt 195.08 Pt.upf
Tb 158.93 Tb.upf
Np 237.00 Np.upf
ATOMIC_POSITIONS angstrom
Pt 5.444 3.143 0.555
Pt 4.082 3.930 2.779
Tb 2.722 1.572 1.111
Pt 6.806 3.930 2.779
Pt 5.444 1.571 2.779
Np 0.000 0.000 0.000
CELL_PARAMETERS angstrom
5.444 0.000 0.000
2.722 4.715 0.000
2.722 1.572 4.445

Entry 12:
! PBE K2CrPt, optimized geometry; values from VASP
! N(E_F) = 1.846 states/eV per cell
! Crystal system = tetragonal
! Space-group type = No. 123
! Energy above the lowest structure with this stoichiometry = 0.358 eV/atom
&SYSTEM
  ibrav = 0, nat = 4, ntyp = 3
/
ATOMIC_SPECIES
K 39.10 K.upf
Pt 195.08 Pt.upf
Cr 52.00 Cr.upf
ATOMIC_POSITIONS angstrom
K 2.161 2.163 0.000
K 0.000 0.000 0.000
Pt 2.161 0.000 2.653
Cr 0.000 2.163 2.653
CELL_PARAMETERS angstrom
4.322 0.000 0.000
0.000 4.325 0.000
0.000 0.000 5.307